Record 1
DFT (PBEsol) results for an optimized crystal structure of Hg6BiSb4Br7.

Cell lengths 13.038, 13.038, 13.038 Å; angles 90.00, 90.00, 90.00 degrees
Fractional coordinates of all 72 atoms:
Hg 0.820 0.796 0.054
Hg 0.180 0.204 0.946
Hg 0.054 0.820 0.796
Hg 0.554 0.820 0.704
Hg 0.704 0.946 0.320
Hg 0.204 0.554 0.680
Hg 0.296 0.446 0.180
Hg 0.204 0.946 0.180
Hg 0.446 0.320 0.796
Hg 0.946 0.320 0.704
Hg 0.680 0.204 0.554
Hg 0.796 0.446 0.320
Hg 0.180 0.296 0.446
Hg 0.946 0.180 0.204
Hg 0.446 0.180 0.296
Hg 0.054 0.680 0.296
Hg 0.820 0.704 0.554
Hg 0.554 0.680 0.204
Hg 0.796 0.054 0.820
Hg 0.704 0.554 0.820
Hg 0.296 0.054 0.680
Hg 0.320 0.796 0.446
Hg 0.320 0.704 0.946
Hg 0.680 0.296 0.054
Sb 0.635 0.135 0.365
Sb 0.239 0.739 0.761
Sb 0.365 0.865 0.635
Sb 0.739 0.739 0.739
Sb 0.761 0.239 0.739
Sb 0.261 0.239 0.761
Sb 0.635 0.365 0.865
Sb 0.865 0.635 0.365
Sb 0.239 0.761 0.261
Sb 0.261 0.261 0.261
Sb 0.739 0.761 0.239
Sb 0.761 0.261 0.239
Sb 0.365 0.635 0.135
Sb 0.135 0.135 0.135
Sb 0.135 0.365 0.635
Sb 0.865 0.865 0.865
Br 0.709 0.454 0.552
Br 0.546 0.448 0.291
Br 0.546 0.052 0.791
Br 0.954 0.552 0.791
Br 0.948 0.291 0.954
Br 0.000 0.500 0.500
Br 0.291 0.546 0.448
Br 0.046 0.052 0.709
Br 0.552 0.791 0.954
Br 0.448 0.209 0.046
Br 0.448 0.291 0.546
Br 0.552 0.709 0.454
Br 0.454 0.552 0.709
Br 0.046 0.448 0.209
Br 0.500 0.500 0.000
Br 0.454 0.948 0.209
Br 0.791 0.546 0.052
Br 0.000 0.000 0.000
Br 0.954 0.948 0.291
Br 0.052 0.709 0.046
Br 0.209 0.046 0.448
Br 0.052 0.791 0.546
Br 0.791 0.954 0.552
Br 0.500 0.000 0.500
Br 0.709 0.046 0.052
Br 0.948 0.209 0.454
Br 0.209 0.454 0.948
Br 0.291 0.954 0.948
Bi 0.000 0.000 0.500
Bi 0.500 0.000 0.000
Bi 0.000 0.500 0.000
Bi 0.500 0.500 0.500

Values from the calculation:
energy relative to the elements, uncorrected: -0.35 eV/atom
space-group type: Pa-3 (205)

=====

Record 2
DFT (PBEsol) results for an optimized crystal structure of CaTlSe2.

Cell lengths 3.892, 3.890, 7.392 Å; angles 105.26, 105.26, 90.00 degrees
Fractional coordinates of all 4 atoms:
Se 0.716 0.216 0.432
Se 0.955 0.955 0.909
Ca 0.288 0.788 0.576
Tl 0.541 0.541 0.082

Values from the calculation:
energy relative to the elements, uncorrected: -0.98 eV/atom
space-group type: Imm2 (44)
density of states at the Fermi level: 1.08 states/eV per cell

=====

Record 3
DFT (PBEsol) results for an optimized crystal structure of ReIr2Pt.

Cell lengths 2.725, 2.725, 9.118 Å; angles 81.41, 81.41, 60.00 degrees
Fractional coordinates of all 4 atoms:
Pt 0.500 0.500 0.500
Ir 0.253 0.253 0.241
Ir 0.747 0.747 0.759
Re 0.000 0.000 0.000

Values from the calculation:
space-group type: R-3m (166)
total DFT energy (no corrections): -10.09 eV/atom
density of states at the Fermi level: 3.51 states/eV per cell

=====

Record 4
DFT (PBEsol) results for an optimized crystal structure of Tl2HgIr.

Cell lengths 4.441, 4.441, 5.189 Å; angles 115.33, 115.33, 90.00 degrees
Fractional coordinates of all 4 atoms:
Ir 0.000 0.000 0.000
Tl 0.250 0.750 0.500
Tl 0.750 0.250 0.500
Hg 0.500 0.500 0.000

Values from the calculation:
space-group type: I4/mmm (139)
total DFT energy (no corrections): -3.40 eV/atom
density of states at the Fermi level: 2.09 states/eV per cell

=====

Record 5
DFT (PBEsol) results for an optimized crystal structure of AsOs3N.

Cell lengths 4.056, 4.056, 4.056 Å; angles 90.00, 90.00, 90.00 degrees
Fractional coordinates of all 5 atoms:
Os 0.500 0.000 0.000
Os 0.000 0.000 0.500
Os 0.000 0.500 0.000
As 0.500 0.500 0.500
N 0.000 0.000 0.000

Values from the calculation:
energy relative to the elements, uncorrected: 0.86 eV/atom
space-group type: Pm-3m (221)
density of states at the Fermi level: 2.48 states/eV per cell

=====

Record 6
DFT (PBEsol) results for an optimized crystal structure of LiAl2Cd.

Cell lengths 4.047, 4.047, 5.098 Å; angles 113.38, 113.38, 90.00 degrees
Fractional coordinates of all 4 atoms:
Cd 0.500 0.500 0.000
Al 0.250 0.750 0.500
Al 0.750 0.250 0.500
Li 0.000 0.000 0.000

Values from the calculation:
space-group type: I4/mmm (139)
total DFT energy (no corrections): -2.89 eV/atom
density of states at the Fermi level: 1.39 states/eV per cell

=====

Record 7
DFT (PBEsol) results for an optimized crystal structure of ZrSbAu.

Cell lengths 3.449, 3.449, 5.800 Å; angles 104.38, 104.38, 99.48 degrees
Fractional coordinates of all 3 atoms:
Au 0.996 0.996 0.991
Sb 0.662 0.662 0.324
Zr 0.342 0.342 0.685

Values from the calculation:
energy relative to the elements, uncorrected: -0.39 eV/atom
space-group type: Fmm2 (42)
density of states at the Fermi level: 1.22 states/eV per cell

=====

Record 8
DFT (PBEsol) results for an optimized crystal structure of Mn2ReCl.

Cell lengths 2.924, 2.924, 7.954 Å; angles 79.41, 79.41, 60.00 degrees
Last column: magnetic moment on the atom in μB.
Fractional coordinates of all 4 atoms:
Cl 0.500 0.500 0.500  0.09
Mn 0.250 0.250 0.250  3.25
Mn 0.750 0.750 0.750  3.25
Re 0.000 0.000 0.000  -0.26

Values from the calculation:
energy relative to the elements, uncorrected: 0.26 eV/atom
space-group type: R-3m (166)
density of states at the Fermi level: 3.32 states/eV per cell